[1]
# BaMgAu

An optimized crystal structure of BaMgAu (PBE, Alexandria).

Geometry as extended XYZ:
```
3
Lattice="5.279 0.000 0.000 2.640 4.572 0.000 2.640 1.524 4.310" Properties=species:S:1:pos:R:3 pbc="T T T"
Ba 0.000 0.000 0.000
Mg 5.279 3.048 2.155
Au 2.640 1.524 1.078
```

Summary:
Fermi-level density of states	2.4	states/eV/cell
crystal system	cubic

[2]
# BaMg2Au2

An optimized crystal structure of BaMg2Au2 (PBE, Alexandria).

Geometry as extended XYZ:
```
5
Lattice="-4.838 1.463 -0.397 -1.356 -3.587 3.316 -2.401 2.307 5.388" Properties=species:S:1:pos:R:3 pbc="T T T"
Mg -2.892 -0.068 2.619
Mg -5.704 0.251 5.689
Ba 0.000 0.000 0.000
Au -5.168 1.354 3.225
Au -3.427 -1.171 5.082
```

Summary:
Fermi-level density of states	2.8	states/eV/cell
crystal system	tetragonal

[3]
# BaMg2Au2

An optimized crystal structure of BaMg2Au2 (PBE, Alexandria).

Geometry as extended XYZ:
```
10
Lattice="-2.928 -7.399 3.088 0.592 -3.478 -7.773 2.982 -0.915 0.636" Properties=species:S:1:pos:R:3 pbc="T T T"
Au 1.393 -4.033 -4.359
Au 0.621 -3.495 0.029
Au -0.747 -7.760 0.311
Au 0.025 -8.297 -4.077
Ba 0.000 0.000 0.000
Ba -1.168 -5.439 -2.342
Mg -0.134 -2.218 -2.561
Mg -1.749 -5.027 0.973
Mg -2.203 -8.660 -2.123
Mg -0.587 -5.851 -5.657
```

Summary:
Fermi-level density of states	4.9	states/eV/cell
crystal system	tetragonal

Uncorrected energy for the records above, in order: -2.6509; -2.8598; -2.7483 eV per atom
Magnetization for the records above, in order: 0.0; 0.0; 0.0 μB/f.u.